Computed, not measured: an optimized crystal structure of K3IrCl6 at the PBE-GGA level of DFT.

The distance to the lowest polymorph of the same formula is 20 meV per atom. Its formation energy from raw total energies is -1366 meV per atom.

The space group is R-3 (No. 148, hexagonal axes) and the conventional cell measures 12.1642, 12.1642 and 14.6978 Å, with angles of 90.00, 90.00 and 120.00 degrees. Symmetry generates all atoms from K at (0.0491, 0.2706, 0.2056), Ir at (0.0000, 0.0000, 0.0000), Ir at (0.0000, 0.0000, 0.5000), Cl at (0.0114, 0.1663, 0.4074) and Cl at (0.0326, 0.1740, 0.9067).